No. 1
Ni3C (PBE, optimized geometry); uncorrected energy = -48.38 eV/cell; space group = P6_3/mmc (194); mass density = 7434 kg/m³
1.0
6.128 0.000 0.000
-3.064 5.307 0.000
0.000 0.000 2.583
C Ni
2 6
Cartesian
3.064 1.769 0.646
0.000 3.538 1.938
0.000 2.105 0.646
-1.241 4.255 0.646
1.241 4.255 0.646
1.823 1.053 1.938
4.305 1.053 1.938
3.064 3.202 1.938

***

No. 2
Nd5Tl3 (PBE, optimized geometry); uncorrected energy = -66.93 eV/cell; space group = I4/mcm (140); mass density = 8972 kg/m³
1.0
5.257 0.702 -7.797
-0.457 -4.664 8.183
-7.310 -4.347 -4.074
Nd Tl
10 6
Cartesian
3.726 -0.966 -5.877
2.615 -2.010 -2.768
-1.117 -1.573 -2.257
0.517 -4.273 0.079
0.174 -2.813 -5.839
-2.684 -5.496 2.151
-3.027 -4.035 -3.766
-1.393 -6.735 -1.431
-5.124 -6.299 -0.920
-6.236 -7.343 2.190
1.200 -0.990 0.097
3.600 -2.971 0.290
0.096 -4.450 3.497
-2.964 -3.642 -0.516
0.454 -4.666 -3.171
-2.606 -3.858 -7.184

***

No. 3
Y2Hf4Co3N3 (PBE, optimized geometry); uncorrected energy = -221.03 eV/cell; space group = C2/c (15); mass density = 10335 kg/m³
1.0
-0.077 3.516 -4.304
-3.566 -0.811 -4.185
-7.813 6.552 9.224
Co Hf N Y
6 8 6 4
Cartesian
-3.434 1.633 0.164
-5.256 1.153 -1.888
-5.229 2.966 -4.003
-6.227 6.291 4.738
-6.199 8.104 2.624
-8.022 7.624 0.572
-0.842 1.322 -0.110
-3.290 3.081 -5.745
-3.687 3.609 1.849
-6.076 5.441 -3.788
-5.379 3.816 4.524
-7.769 5.648 -1.114
-8.165 6.176 6.481
-10.614 7.935 0.845
-0.038 1.758 -2.152
-1.232 2.708 -5.009
-2.410 -0.003 -3.479
-6.947 3.741 -0.336
-5.689 2.871 2.520
-4.509 5.516 1.071
-2.356 2.421 -2.766
-4.610 4.283 -1.130
-6.846 4.974 1.866
-9.100 6.836 3.502

***

No. 4
LuCdCoPb (PBE, optimized geometry); uncorrected energy = -15.71 eV/cell; space group = F-43m (216); mass density = 11285 kg/m³
1.0
-2.760 -3.734 -1.453
-4.053 -1.125 2.445
-4.357 0.829 -2.000
Cd Co Lu Pb
1 1 1 1
Cartesian
-2.793 -1.008 -0.252
-8.378 -3.023 -0.756
-5.585 -2.015 -0.504
0.000 0.000 0.000

***

No. 5
Ba3ReBi2O9 (PBE, optimized geometry); uncorrected energy = -201.18 eV/cell; space group = P-3c1 (165); mass density = 7863 kg/m³
1.0
-3.612 3.997 -3.100
-2.483 -3.749 4.290
2.419 10.154 10.274
Ba Bi O Re
6 4 18 2
Cartesian
-2.655 -0.308 2.697
0.605 2.539 2.569
-2.231 5.632 3.631
-1.445 4.769 7.834
1.814 7.616 7.706
-1.021 10.709 8.768
-2.838 3.084 1.052
-2.047 2.241 5.275
-1.629 8.161 6.189
-0.838 7.318 10.412
-1.009 1.651 0.191
-3.721 3.687 -1.183
-4.427 1.218 1.423
-1.415 4.773 0.836
-2.083 2.648 3.094
-0.783 0.443 4.967
0.077 3.513 5.365
-3.508 4.230 5.501
-2.069 1.674 7.688
-1.607 8.727 3.777
-0.168 6.172 5.964
-3.753 6.888 6.100
0.221 9.378 6.339
0.720 5.962 9.597
-1.593 7.754 8.371
0.751 9.184 10.042
0.045 6.715 12.648
-2.667 8.751 11.274
0.000 0.000 0.000
1.210 5.077 5.137

***

No. 6
TmTaN2O (PBE, optimized geometry); uncorrected energy = -190.72 eV/cell; space group = P1 (1); mass density = 10726 kg/m³
1.0
5.553 0.000 0.000
-2.748 4.828 0.000
-0.023 -3.169 9.099
N O Ta Tm
8 4 4 4
Cartesian
4.277 1.172 0.926
-1.440 2.896 3.135
3.417 0.058 3.471
1.292 2.021 3.623
1.280 -0.302 5.309
4.047 -1.175 6.083
1.397 1.261 7.659
0.665 -1.604 7.912
2.122 3.072 1.006
1.446 0.271 1.413
-0.754 1.650 5.769
-1.338 0.350 8.401
2.880 1.643 2.361
2.822 -1.488 4.543
0.054 -0.003 6.752
-0.023 -3.078 8.973
-0.087 3.205 1.197
0.166 0.069 3.322
2.600 1.667 5.628
2.959 -1.515 8.054

***

No. 7
NbCoOs (PBE, optimized geometry); space group = F-43m (216); mass density = 11812 kg/m³; formation energy from the elements = 0.406 eV per atom
1.0
0.000 2.886 2.886
2.886 0.000 2.886
2.886 2.886 0.000
Co Nb Os
1 1 1
Cartesian
0.000 0.000 0.000
1.443 1.443 1.443
4.329 4.329 4.329

***

No. 8
LuTlZnTe3 (PBE, optimized geometry); uncorrected energy = -87.39 eV/cell; space group = Pnma (62); mass density = 7149 kg/m³
1.0
10.473 0.000 0.000
0.000 4.418 0.000
0.000 0.000 16.615
Lu Te Tl Zn
4 12 4 4
Cartesian
3.268 1.105 0.771
8.505 1.105 7.536
1.969 3.314 9.079
7.205 3.314 15.843
8.794 1.105 0.501
5.301 3.314 1.681
1.956 1.105 3.388
7.193 1.105 4.919
0.064 3.314 6.626
3.558 1.105 7.806
6.916 3.314 8.809
10.409 1.105 9.989
3.280 3.314 11.696
8.517 3.314 13.226
5.172 1.105 14.934
1.679 3.314 16.113
9.810 3.314 3.348
4.573 3.314 4.960
5.900 1.105 11.655
0.663 1.105 13.267
6.915 1.105 2.335
1.679 1.105 5.972
8.795 3.314 10.642
3.558 3.314 14.280

***

No. 9
DyTmNb2Ge2 (PBE, optimized geometry); uncorrected energy = -42.35 eV/cell; space group = P4mm (99); mass density = 8720 kg/m³
1.0
-3.605 -1.587 -0.804
-0.313 -1.222 3.817
-3.401 6.769 1.888
Dy Ge Nb Tm
1 2 2 1
Cartesian
-1.201 2.389 0.666
-2.801 0.270 1.973
-2.558 5.090 1.420
-5.203 5.972 1.485
-3.557 6.155 3.795
-4.164 2.984 2.730

***

No. 10
TbAgNO (PBE, optimized geometry); uncorrected energy = -96.33 eV/cell; space group = Pca2_1 (29); mass density = 8143 kg/m³
1.0
4.846 0.000 0.000
0.000 6.994 0.000
0.000 0.000 7.143
Ag N O Tb
4 4 4 4
Cartesian
2.184 1.255 0.887
4.607 1.255 2.685
2.184 5.739 4.458
4.607 5.739 6.257
4.617 4.323 0.697
2.194 4.323 2.874
4.617 2.671 4.269
2.194 2.671 6.446
4.565 0.577 0.681
2.142 0.577 2.891
4.565 6.417 4.253
2.142 6.417 6.462
2.191 4.611 0.579
4.614 4.611 2.993
2.191 2.383 4.150
4.614 2.383 6.565

***

No. 11
CsHfAuSe3 (PBE, optimized geometry); uncorrected energy = -61.05 eV/cell; space group = Cmcm (63); mass density = 7345 kg/m³
1.0
-1.749 2.899 7.662
-2.222 -1.030 8.011
10.029 -0.972 2.656
Au Cs Hf Se
2 2 2 6
Cartesian
-1.284 1.542 15.632
7.343 -0.645 2.698
1.503 0.230 4.629
4.556 0.668 13.701
-1.985 0.935 7.837
3.029 0.449 9.165
-3.214 1.626 13.963
0.271 0.810 9.492
1.195 1.199 15.131
4.864 -0.302 3.199
5.788 0.088 8.838
9.272 -0.729 4.367

***

No. 12
Er3AgO6 (PBE, optimized geometry); uncorrected energy = -73.56 eV/cell; space group = P-1 (2); mass density = 8910 kg/m³
1.0
-1.483 -3.008 1.064
4.050 -0.857 3.630
-4.190 2.046 5.183
Ag Er O
1 3 6
Cartesian
0.000 0.000 0.000
-0.004 -1.771 3.578
-2.095 1.023 2.592
-1.620 -0.048 6.299
2.058 -0.877 3.209
-0.282 -0.138 1.990
0.266 -1.250 5.692
-1.890 -0.570 4.186
-1.342 -1.681 7.888
-3.682 -0.942 6.668

***

No. 13
KTbAgTe3 (PBE, optimized geometry); uncorrected energy = -93.84 eV/cell; space group = Pnma (62); mass density = 5550 kg/m³
1.0
16.486 0.000 0.000
0.000 4.324 0.000
0.000 0.000 11.563
Ag K Tb Te
4 4 4 12
Cartesian
8.010 3.243 1.071
16.253 3.243 4.710
0.233 1.081 6.853
8.476 1.081 10.492
4.425 1.081 0.457
12.668 1.081 5.325
3.818 3.243 6.238
12.061 3.243 11.106
16.137 1.081 1.866
7.894 1.081 3.916
8.592 3.243 7.647
0.349 3.243 9.697
1.673 3.243 0.920
9.814 1.081 1.472
14.170 3.243 2.813
5.928 3.243 2.969
1.571 1.081 4.310
9.916 3.243 4.861
6.570 1.081 6.702
14.915 3.243 7.253
10.558 1.081 8.594
2.315 1.081 8.750
6.672 3.243 10.091
14.813 1.081 10.643

***

No. 14
RbYPt (PBE, optimized geometry); uncorrected energy = -11.05 eV/cell; space group = F-43m (216); mass density = 7211 kg/m³
1.0
-3.213 -3.105 -2.099
-3.054 -2.668 2.815
-4.828 1.027 0.065
Pt Rb Y
1 1 1
Cartesian
-2.774 -1.187 0.195
0.000 0.000 0.000
-8.321 -3.560 0.586

***

No. 15
Zr4Nb2Ge3C3 (PBE, optimized geometry); uncorrected energy = -209.12 eV/cell; space group = C2/c (15); mass density = 7029 kg/m³
1.0
4.914 -2.839 0.000
4.914 2.839 0.000
-3.301 0.000 13.627
C Ge Nb Zr
6 6 4 8
Cartesian
2.457 -1.419 0.000
5.721 -1.401 0.000
4.107 1.401 0.000
2.456 -1.401 6.814
0.806 1.419 6.814
4.070 1.401 6.814
5.560 0.374 3.396
4.088 -2.166 3.407
2.617 0.374 3.418
3.909 -0.374 10.209
2.438 2.166 10.220
0.966 -0.374 10.231
4.077 -0.482 1.163
4.099 -0.482 5.650
2.427 0.482 7.977
2.449 0.482 12.464
7.386 -0.481 1.316
0.820 -0.456 1.317
7.356 -0.456 5.497
0.791 -0.481 5.498
5.735 0.481 8.130
-0.831 0.456 8.130
5.706 0.456 12.311
-0.860 0.481 12.311

***

No. 16
NaLuCdSe3 (PBE, optimized geometry); uncorrected energy = -96.47 eV/cell; space group = Pnma (62); mass density = 6258 kg/m³
1.0
7.986 0.000 0.000
0.000 4.214 0.000
0.000 0.000 17.261
Cd Lu Na Se
4 4 4 12
Cartesian
3.371 1.053 2.802
7.364 1.053 5.828
0.622 3.160 11.433
4.615 3.160 14.459
6.126 1.053 0.635
2.133 1.053 7.995
5.853 3.160 9.266
1.860 3.160 16.626
0.438 3.160 3.371
4.431 3.160 5.259
3.555 1.053 12.002
7.548 1.053 13.890
0.985 1.053 1.063
4.076 3.160 1.278
6.143 1.053 3.527
2.150 1.053 5.103
0.083 3.160 7.352
4.978 1.053 7.567
3.008 3.160 9.694
7.903 1.053 9.909
5.835 3.160 12.158
1.842 3.160 13.734
3.910 1.053 15.983
7.001 3.160 16.198

***

No. 17
PrSm2Al2Co4 (PBE, optimized geometry); uncorrected energy = -52.71 eV/cell; space group = C2/m (12); mass density = 7193 kg/m³
1.0
-4.219 -2.058 -2.812
-2.757 -4.725 -0.121
-4.281 3.738 6.027
Al Co Pr Sm
2 4 1 2
Cartesian
-5.917 -3.549 -0.304
-5.340 0.504 3.398
-1.144 -0.093 0.529
-3.624 -0.219 1.750
-7.633 -2.826 1.344
-10.113 -2.952 2.565
-2.140 1.869 3.014
-3.124 -2.084 -0.369
-8.133 -0.961 3.463

***

No. 18
KRb2IrO6 (PBE, optimized geometry); uncorrected energy = -51.54 eV/cell; space group = Fm-3m (225); mass density = 4886 kg/m³
1.0
0.000 4.391 4.391
4.391 0.000 4.391
4.391 4.391 0.000
Ir K O Rb
1 1 6 2
Cartesian
0.000 0.000 0.000
4.391 4.391 4.391
1.858 4.391 4.391
4.391 1.858 4.391
4.391 4.391 6.924
4.391 4.391 1.858
4.391 6.924 4.391
6.924 4.391 4.391
2.196 2.196 2.196
6.587 6.587 6.587